(1)
Density functional theory data (PBE) for crystalline MnHS2 at its relaxed geometry.

```
MnHS2
1.0
6.753 0.235 -0.073
-2.011 2.972 0.000
0.081 0.055 6.151
Mn S H
2 4 2
Cartesian
5.523 0.672 0.593
2.459 0.766 3.743
0.332 1.493 2.685
3.636 1.562 1.674
-1.033 2.737 5.755
2.371 2.872 4.777
1.782 0.309 0.455
1.083 2.002 1.677
```

Properties
Crystal system   monoclinic
Symmetry   Pm, No. 6
Energy relative to the lowest polymorph listed for this composition   40 meV per atom



(2)
Density functional theory data (PBE) for crystalline MnHS2 at its relaxed geometry.

```
MnHS2
1.0
-1.338 2.601 -1.729
0.109 -3.094 -1.400
-5.390 -1.237 2.312
Mn S H
1 2 1
Cartesian
-5.219 -1.198 2.239
-1.831 0.479 -1.201
-4.508 -2.144 0.264
-3.276 -1.861 -0.265
```

Properties
Crystal system   trigonal
Symmetry   P3m1, No. 156
Energy relative to the lowest polymorph listed for this composition   49 meV per atom



(3)
Density functional theory data (PBE) for crystalline MnHS2 at its relaxed geometry.

```
MnHS2
1.0
7.872 0.000 0.000
0.000 7.872 0.000
3.936 3.936 2.630
Mn S H
2 4 2
Cartesian
7.872 3.936 1.315
3.936 7.872 1.315
2.773 1.162 0.000
6.709 2.773 0.000
5.098 6.709 0.000
1.162 5.098 0.000
7.872 7.872 1.315
3.936 3.936 1.315
```

Properties
Crystal system   tetragonal
Symmetry   I4/mcm, No. 140
Energy relative to the lowest polymorph listed for this composition   634 meV per atom



(4)
Density functional theory data (PBE) for crystalline MnHS2 at its relaxed geometry.

```
MnHS2
1.0
-0.096 5.860 -0.895
-1.634 0.386 2.728
5.777 1.726 1.675
Mn S H
2 4 2
Cartesian
2.475 3.916 2.209
5.081 6.863 1.486
2.306 2.456 0.441
1.031 5.296 1.142
3.732 2.318 3.200
4.261 4.945 1.222
-0.396 3.318 2.453
0.899 6.480 1.837
```

Properties
Crystal system   triclinic
Symmetry   P1, No. 1
Energy relative to the lowest polymorph listed for this composition   148 meV per atom



(5)
Density functional theory data (PBE) for crystalline MnH2S2 at its relaxed geometry.

```
MnH2S2
1.0
-2.312 -0.338 2.358
3.216 -0.030 0.812
-0.739 8.870 0.548
S H Mn
2 2 1
Cartesian
0.664 7.414 1.714
-0.499 1.088 2.004
-0.182 4.677 0.492
0.347 3.825 3.226
0.000 0.000 0.000
```

Properties
Crystal system   monoclinic
Final energy   -5.166 eV per atom
Symmetry   C2/m, No. 12



(6)
Density functional theory data (PBE) for crystalline MnHS2 at its relaxed geometry.

```
MnHS2
1.0
-1.842 3.592 4.711
-3.225 -0.249 0.410
2.143 -2.221 1.051
S Mn H
2 1 1
Cartesian
0.528 -0.911 2.071
-3.453 2.032 4.101
0.000 0.000 0.000
-1.462 0.560 3.086
```

Properties
Crystal system   monoclinic
Symmetry   C2/m, No. 12
Energy relative to the lowest polymorph listed for this composition   394 meV per atom



(7)
Density functional theory data (PBE) for crystalline MnHS2 at its relaxed geometry.

```
MnHS2
1.0
3.396 -0.002 -0.003
0.003 5.491 0.167
-1.704 -1.783 6.087
Mn S H
2 4 2
Cartesian
2.356 0.981 3.563
0.660 4.325 3.606
0.659 0.358 4.967
-1.038 3.138 4.610
2.354 -0.543 2.035
0.658 2.170 2.562
-1.036 3.138 5.978
0.657 2.169 1.194
```

Properties
Crystal system   triclinic
Symmetry   P-1, No. 2
Energy relative to the lowest polymorph listed for this composition   17 meV per atom



(8)
Density functional theory data (PBE) for crystalline SrMnHS2 at its relaxed geometry.

```
SrMnHS2
1.0
4.828 0.000 0.000
0.000 4.828 0.000
0.000 0.000 3.794
S H Sr Mn
2 1 1 1
Cartesian
0.000 2.414 0.000
2.414 0.000 0.000
0.000 0.000 1.897
2.414 2.414 1.897
0.000 0.000 0.000
```

Properties
Crystal system   tetragonal
Symmetry   P4/mmm, No. 123
Energy relative to the lowest polymorph listed for this composition   0 meV per atom



(9)
Density functional theory data (PBE) for crystalline SrMnHS2 at its relaxed geometry.

```
SrMnHS2
1.0
5.667 0.000 0.000
0.000 6.653 0.000
0.000 0.000 5.667
Mn H S Sr
1 1 2 1
Cartesian
0.000 3.327 0.000
2.833 3.327 2.833
2.833 0.000 0.000
0.000 0.000 2.833
0.000 0.000 0.000
```

Properties
Crystal system   tetragonal
Symmetry   P4/mmm, No. 123
Energy relative to the lowest polymorph listed for this composition   1925 meV per atom



(10)
Density functional theory data (PBE) for crystalline Mn3SbH at its relaxed geometry.

```
Mn3SbH
1.0
1.863 -2.045 6.312
4.517 1.553 4.967
0.168 2.302 6.493
Mn Sb H
6 2 2
Cartesian
3.523 -0.580 7.983
3.025 2.389 9.789
4.989 0.761 9.231
2.736 -0.180 10.157
1.559 1.048 8.541
3.812 1.989 7.615
4.367 1.207 11.854
2.181 0.603 5.919
0.512 0.141 1.389
6.037 1.668 16.384
```

Properties
Crystal system   trigonal
Symmetry   R-3, No. 148
Energy relative to the lowest polymorph listed for this composition   282 meV per atom



(11)
Density functional theory data (PBE) for crystalline Mn3SbH at its relaxed geometry.

```
Mn3SbH
1.0
3.706 0.000 0.000
-0.002 8.228 0.075
-1.853 0.852 4.092
Sb Mn H
2 6 2
Cartesian
0.803 4.302 0.529
-1.048 2.689 2.636
0.803 6.742 3.594
0.805 1.451 1.220
-1.049 7.968 2.502
0.804 6.884 1.098
2.656 5.655 2.006
0.805 1.036 3.948
0.805 0.001 0.002
0.803 8.185 2.447
```

Properties
Crystal system   monoclinic
Symmetry   Cm, No. 8
Energy relative to the lowest polymorph listed for this composition   111 meV per atom



(12)
Density functional theory data (PBE) for crystalline MnSb2H at its relaxed geometry.

```
MnSb2H
1.0
0.000 3.159 3.159
3.159 0.000 3.159
3.159 3.159 0.000
Mn Sb H
1 2 1
Cartesian
3.159 3.159 3.159
1.579 1.579 1.579
4.738 4.738 4.738
0.000 0.000 0.000
```

Properties
Crystal system   cubic
Symmetry   Fm-3m, No. 225
Energy relative to the lowest polymorph listed for this composition   0 meV per atom



What did the second record say?
Density functional theory data (PBE) for crystalline MnHS2 at its relaxed geometry.

```
MnHS2
1.0
-1.338 2.601 -1.729
0.109 -3.094 -1.400
-5.390 -1.237 2.312
Mn S H
1 2 1
Cartesian
-5.219 -1.198 2.239
-1.831 0.479 -1.201
-4.508 -2.144 0.264
-3.276 -1.861 -0.265
```

Properties
Crystal system   trigonal
Symmetry   P3m1, No. 156
Energy relative to the lowest polymorph listed for this composition   49 meV per atom



Number 10 is which compound?
Mn3SbH



What did the first record say?
Density functional theory data (PBE) for crystalline MnHS2 at its relaxed geometry.

```
MnHS2
1.0
6.753 0.235 -0.073
-2.011 2.972 0.000
0.081 0.055 6.151
Mn S H
2 4 2
Cartesian
5.523 0.672 0.593
2.459 0.766 3.743
0.332 1.493 2.685
3.636 1.562 1.674
-1.033 2.737 5.755
2.371 2.872 4.777
1.782 0.309 0.455
1.083 2.002 1.677
```

Properties
Crystal system   monoclinic
Symmetry   Pm, No. 6
Energy relative to the lowest polymorph listed for this composition   40 meV per atom